Ho2LuPt: optimized geometry, GGA-PBE.

density of states at the Fermi level	5.60	states/eV/f.u.
electronic total energy	-5.2124	eV/atom
formation enthalpy at 0 K	-283	meV per atom
relative energy among the computed polymorphs	302.6	meV/atom
calculated volume	121.2	Å³ per cell

Cell lengths 3.6688, 3.6688, 10.6108 Å; angles 80.04, 80.04, 60.00 degrees
Fractional coordinates of all 4 atoms:
Ho  0.8912  0.8912  0.3263
Ho  0.1088  0.1088  0.6737
Pt  0.5000  0.5000  0.5000
Lu  0.0000  0.0000  0.0000